1.
This record from Alexandria via LeMat-Bulk describes a relaxed LiNpTe crystal. The functional is PBE.

Properties
Formation energy from raw total energies (eV per atom): -0.521
SG: P2_1/m (11)
Total energy (eV per atom): -6.5195
Total magnetization (Bohr magnetons per cell): 3.0

Unit cell a=3.8773 b=3.6896 c=8.9946 alpha=90.00 beta=96.94 gamma=90.00
Closest atoms and distances in Å follow each position.
Element x y z (fractional)
Li1 0.2199 0.2500 0.4097  5 Te 2.82-2.95, 4 Li 3.10-3.15, 1 Np 3.10
Li2 0.7801 0.7500 0.5903  5 Te 2.82-2.95, 4 Li 3.10-3.15, 1 Np 3.10
Np1 0.1584 0.2500 0.0624  2 Np 2.42
Np2 0.8416 0.7500 0.9376  2 Np 2.42
Te1 0.3114 0.2500 0.7255  5 Li 2.82-2.95, 1 Np 3.16
Te2 0.6886 0.7500 0.2745  5 Li 2.82-2.95, 1 Np 3.16


2.
This record from Alexandria via LeMat-Bulk describes a relaxed Li5Np3Te12 crystal. The functional is PBE.

Properties
Formation energy from raw total energies (eV per atom): -0.441
SG: Ia-3d (230)
Total energy (eV per atom): -4.7455
Total magnetization (Bohr magnetons per cell): 36.2

Unit cell a=14.8893 b=14.8893 c=14.8893 alpha=109.47 beta=109.47 gamma=109.47
Closest atoms and distances in Å follow each position.
Element x y z (fractional)
Li1 0.0000 0.0000 0.0000  6 Te 3.07
Li2 0.0000 0.0000 0.5000  6 Te 3.07
Li3 0.0000 0.5000 0.0000  6 Te 3.07
Li4 0.0000 0.5000 0.5000  6 Te 3.07
Li5 0.1250 0.7500 0.8750  4 Te 2.69
Li6 0.1250 0.8750 0.2500  4 Te 2.69
Li7 0.2500 0.1250 0.8750  4 Te 2.69
Li8 0.2500 0.6250 0.3750  4 Te 2.69
Li9 0.3750 0.2500 0.6250  4 Te 2.69
Li10 0.3750 0.6250 0.7500  4 Te 2.69
Li11 0.5000 0.0000 0.0000  6 Te 3.07
Li12 0.5000 0.0000 0.5000  6 Te 3.07
Li13 0.5000 0.5000 0.0000  6 Te 3.07
Li14 0.5000 0.5000 0.5000  6 Te 3.07
Li15 0.6250 0.3750 0.2500  4 Te 2.69
Li16 0.6250 0.7500 0.3750  4 Te 2.69
Li17 0.7500 0.3750 0.6250  4 Te 2.69
Li18 0.7500 0.8750 0.1250  4 Te 2.69
Li19 0.8750 0.1250 0.7500  4 Te 2.69
Li20 0.8750 0.2500 0.1250  4 Te 2.69
Np1 0.1250 0.2500 0.3750  8 Te 3.09-3.20
Np2 0.1250 0.3750 0.7500  8 Te 3.09-3.20
Np3 0.2500 0.3750 0.1250  8 Te 3.09-3.20
Np4 0.2500 0.8750 0.6250  8 Te 3.09-3.20
Np5 0.3750 0.1250 0.2500  8 Te 3.09-3.20
Np6 0.3750 0.7500 0.1250  8 Te 3.09-3.20
Np7 0.6250 0.2500 0.8750  8 Te 3.09-3.20
Np8 0.6250 0.8750 0.7500  8 Te 3.09-3.20
Np9 0.7500 0.1250 0.3750  8 Te 3.09-3.20
Np10 0.7500 0.6250 0.8750  8 Te 3.09-3.20
Np11 0.8750 0.6250 0.2500  8 Te 3.09-3.20
Np12 0.8750 0.7500 0.6250  8 Te 3.09-3.20
Te1 0.0544 0.2355 0.1402  1 Li 2.69
Te2 0.0544 0.3189 0.9142  1 Li 2.69
Te3 0.0858 0.6402 0.4047  1 Li 2.69
Te4 0.0858 0.9456 0.6811  1 Li 2.69
Te5 0.0953 0.7355 0.6811  1 Li 2.69
Te6 0.0953 0.8598 0.4142  1 Li 2.69
Te7 0.1402 0.0544 0.2355  1 Li 2.69
Te8 0.1402 0.5858 0.9047  1 Li 2.69
Te9 0.1811 0.2355 0.5953  1 Li 2.69
Te10 0.1811 0.4456 0.5858  1 Li 2.69
Te11 0.2355 0.1402 0.0544  1 Li 2.69
Te12 0.2355 0.5953 0.1811  1 Li 2.69
Te13 0.2645 0.3189 0.9047  1 Li 2.69
Te14 0.2645 0.4456 0.3598  1 Li 2.69
Te15 0.3189 0.9047 0.2645  1 Li 2.69
Te16 0.3189 0.9142 0.0544  1 Li 2.69
Te17 0.3598 0.2645 0.4456  1 Li 2.69
Te18 0.3598 0.5953 0.9142  1 Li 2.69
Te19 0.4047 0.0858 0.6402  1 Li 2.69
Te20 0.4047 0.8189 0.7645  1 Li 2.69
Te21 0.4142 0.0953 0.8598  1 Li 2.69
Te22 0.4142 0.8189 0.5544  1 Li 2.69
Te23 0.4456 0.3598 0.2645  1 Li 2.69
Te24 0.4456 0.5858 0.1811  1 Li 2.69
Te25 0.5544 0.4142 0.8189  1 Li 2.69
Te26 0.5544 0.6402 0.7355  1 Li 2.69
Te27 0.5858 0.1811 0.4456  1 Li 2.69
Te28 0.5858 0.9047 0.1402  1 Li 2.69
Te29 0.5953 0.1811 0.2355  1 Li 2.69
Te30 0.5953 0.9142 0.3598  1 Li 2.69
Te31 0.6402 0.4047 0.0858  1 Li 2.69
Te32 0.6402 0.7355 0.5544  1 Li 2.69
Te33 0.6811 0.0858 0.9456  1 Li 2.69
Te34 0.6811 0.0953 0.7355  1 Li 2.69
Te35 0.7355 0.5544 0.6402  1 Li 2.69
Te36 0.7355 0.6811 0.0953  1 Li 2.69
Te37 0.7645 0.4047 0.8189  1 Li 2.69
Te38 0.7645 0.8598 0.9456  1 Li 2.69
Te39 0.8189 0.5544 0.4142  1 Li 2.69
Te40 0.8189 0.7645 0.4047  1 Li 2.69
Te41 0.8598 0.4142 0.0953  1 Li 2.69
Te42 0.8598 0.9456 0.7645  1 Li 2.69
Te43 0.9047 0.1402 0.5858  1 Li 2.69
Te44 0.9047 0.2645 0.3189  1 Li 2.69
Te45 0.9142 0.0544 0.3189  1 Li 2.69
Te46 0.9142 0.3598 0.5953  1 Li 2.69
Te47 0.9456 0.6811 0.0858  1 Li 2.69
Te48 0.9456 0.7645 0.8598  1 Li 2.69


3.
This record from Alexandria via LeMat-Bulk describes a relaxed LiNpTe3 crystal. The functional is PBE.

Properties
Formation energy from raw total energies (eV per atom): -0.528
SG: C2 (5)
Total energy (eV per atom): -5.3837
Total magnetization (Bohr magnetons per cell): 7.7

Unit cell a=9.0584 b=9.0584 c=4.2091 alpha=90.00 beta=90.00 gamma=59.19
Closest atoms and distances in Å follow each position.
Element x y z (fractional)
Li1 0.2500 0.2500 0.0012  6 Te 2.85-3.01
Li2 0.7500 0.7500 0.9988  6 Te 2.85-3.01
Np1 0.2494 0.7506 0.5000  4 Te 3.02
Np2 0.7496 0.2504 0.0000  8 Te 3.23
Te1 0.0429 0.1985 0.5013  2 Li 3.01, 1 Te 3.09, 2 Np 3.23
Te2 0.1123 0.6127 0.9994  2 Li 2.85-2.86, 2 Np 3.02
Te3 0.3873 0.8877 0.0006  2 Li 2.85-2.86, 2 Np 3.02
Te4 0.4563 0.3021 0.5013  2 Li 3.01, 1 Te 3.09, 2 Np 3.23
Te5 0.6979 0.5437 0.4987  2 Li 3.01, 1 Te 3.09, 2 Np 3.23
Te6 0.8015 0.9571 0.4987  2 Li 3.01, 1 Te 3.09, 2 Np 3.23


4.
This record from Alexandria via LeMat-Bulk describes a relaxed LiNp2Te4 crystal. The functional is PBE.

Properties
Formation energy from raw total energies (eV per atom): -0.703
SG: C2/m (12)
Total energy (eV per atom): -6.4687
Total magnetization (Bohr magnetons per cell): 7.0

Unit cell a=8.3106 b=8.3106 c=7.5608 alpha=116.86 beta=116.86 gamma=30.28
Closest atoms and distances in Å follow each position.
Element x y z (fractional)
Li1 0.0000 0.0000 0.0000  6 Te 3.01-3.06
Np1 0.2565 0.2565 0.2604  6 Te 3.06-3.10
Np2 0.7435 0.7435 0.7396  6 Te 3.06-3.10
Te1 0.1222 0.1222 0.4461  1 Li 3.01, 3 Np 3.06-3.07
Te2 0.3731 0.3731 0.0304  2 Li 3.06, 3 Np 3.09-3.10
Te3 0.6269 0.6269 0.9696  2 Li 3.06, 3 Np 3.09-3.10
Te4 0.8778 0.8778 0.5539  1 Li 3.01, 3 Np 3.06-3.07


5.
This record from Alexandria via LeMat-Bulk describes a relaxed Li2NpTe3 crystal. The functional is PBE.

Properties
Formation energy from raw total energies (eV per atom): -0.799
SG: C2/m (12)
Total energy (eV per atom): -5.1646
Total magnetization (Bohr magnetons per cell): 6.0

Unit cell a=7.4858 b=7.4858 c=7.3576 alpha=99.73 beta=99.73 gamma=120.00
Closest atoms and distances in Å follow each position.
Element x y z (fractional)
Li1 0.0000 0.0000 0.0000  6 Te 3.05-3.07
Li2 0.1697 0.8303 0.5000  6 Te 3.00-3.06
Li3 0.5000 0.5000 0.5000  6 Te 3.00-3.04
Li4 0.8303 0.1697 0.5000  6 Te 3.00-3.06
Np1 0.3337 0.6663 0.0000  6 Te 3.04
Np2 0.6663 0.3337 0.0000  6 Te 3.04
Te1 0.0829 0.4181 0.2507  4 Li 3.00-3.05, 2 Np 3.04
Te2 0.2520 0.2520 0.7456  4 Li 3.00-3.07, 2 Np 3.04
Te3 0.4181 0.0829 0.2507  4 Li 3.00-3.05, 2 Np 3.04
Te4 0.5819 0.9171 0.7493  4 Li 3.00-3.05, 2 Np 3.04
Te5 0.7480 0.7480 0.2544  4 Li 3.00-3.07, 2 Np 3.04
Te6 0.9171 0.5819 0.7493  4 Li 3.00-3.05, 2 Np 3.04


6.
This record from Alexandria via LeMat-Bulk describes a relaxed LiNpTe3 crystal. The functional is PBE.

Properties
Formation energy from raw total energies (eV per atom): -0.607
SG: Pbcm (57)
Total energy (eV per atom): -5.4626
Total magnetization (Bohr magnetons per cell): 13.7

Unit cell a=14.2313 b=6.2604 c=6.2583 alpha=90.00 beta=90.00 gamma=90.00
Closest atoms and distances in Å follow each position.
Element x y z (fractional)
Li1 0.0006 0.2500 0.0000  4 Te 2.76
Li2 0.0006 0.2500 0.5000  4 Te 2.76
Li3 0.9994 0.7500 0.0000  4 Te 2.76
Li4 0.9994 0.7500 0.5000  4 Te 2.76
Np1 0.3294 0.0000 0.2500  9 Te 3.04-3.29
Np2 0.3294 0.5000 0.7500  9 Te 3.04-3.29
Np3 0.6706 0.0000 0.7500  9 Te 3.04-3.29
Np4 0.6706 0.5000 0.2500  9 Te 3.04-3.29
Te1 0.1158 0.5013 0.7500  4 Li 2.76, 1 Np 3.04
Te2 0.1158 0.9987 0.2500  4 Li 2.76, 1 Np 3.04
Te3 0.2823 0.0002 0.7500  4 Np 3.20
Te4 0.2823 0.4998 0.2500  4 Np 3.20
Te5 0.5000 0.2500 0.0000  4 Te 3.13, 4 Np 3.29
Te6 0.5000 0.2500 0.5000  4 Te 3.13, 4 Np 3.29
Te7 0.5000 0.7500 0.0000  4 Te 3.13, 4 Np 3.29
Te8 0.5000 0.7500 0.5000  4 Te 3.13, 4 Np 3.29
Te9 0.7177 0.9998 0.2500  4 Np 3.20
Te10 0.7177 0.5002 0.7500  4 Np 3.20
Te11 0.8842 0.0013 0.7500  4 Li 2.76, 1 Np 3.04
Te12 0.8842 0.4987 0.2500  4 Li 2.76, 1 Np 3.04


Question: Look up the formation energy from raw total energies of the fifth one.
Answer: -0.799 eV per atom